Entry 1:
LiAc5Nd4: optimized geometry, PBE.

## Properties
**Energy of formation**: 36.7 meV/atom
**Crystal system**: tetragonal

Cell lengths 3.885, 3.885, 25.652 Å; angles 90.00, 90.00, 90.00 degrees
Fractional positions:
Ac  0.500  0.500  0.086
Ac  0.500  0.500  0.293
Nd  0.000  0.000  0.189
Ac  0.500  0.500  0.707
Nd  0.000  0.000  0.397
Li  0.000  0.000  0.000
Nd  0.000  0.000  0.811
Ac  0.500  0.500  0.914
Ac  0.500  0.500  0.500
Nd  0.000  0.000  0.603



Entry 2:
Si2AsRh: optimized geometry, PBE.

## Properties
**ΔE to the lowest computed polymorph**: 129.6 meV/atom
**Crystal system**: trigonal

Cell lengths 7.137, 7.137, 7.137 Å; angles 26.17, 26.17, 26.17 degrees
Fractional positions:
Si  0.497  0.497  0.497
Si  0.003  0.003  0.003
As  0.250  0.250  0.250
Rh  0.750  0.750  0.750



Entry 3:
Gd2NiPt: optimized geometry, PBE.

## Properties
**Energy of formation**: -751.7 meV/atom
**ΔE to the lowest computed polymorph**: 0.0 meV/atom
**Crystal system**: cubic

Cell lengths 4.925, 4.925, 4.925 Å; angles 60.00, 60.00, 60.00 degrees
Site moments in Bohr magnetons follow the coordinates.
Fractional positions:
Gd  0.250  0.250  0.250  7.02
Pt  0.500  0.500  0.500  0.01
Ni  0.000  0.000  0.000  0.04
Gd  0.750  0.750  0.750  7.02



Entry 4:
Mg2FeOs: optimized geometry, PBE.

## Properties
**Energy of formation**: 396.8 meV/atom
**ΔE to the lowest computed polymorph**: 285.5 meV/atom
**Crystal system**: tetragonal

Cell lengths 3.318, 3.318, 5.629 Å; angles 90.00, 90.00, 90.00 degrees
Site moments in Bohr magnetons follow the coordinates.
Fractional positions:
Mg  0.000  0.000  0.006  -0.02
Fe  0.500  0.500  0.750  2.72
Os  0.500  0.500  0.250  0.56
Mg  0.000  0.000  0.494  -0.02



Entry 5:
YPu2Zn: optimized geometry, PBE.

## Properties
**Energy of formation**: 112.0 meV/atom
**Crystal system**: tetragonal

Cell lengths 3.505, 3.505, 8.602 Å; angles 90.00, 90.00, 90.00 degrees
Site moments in Bohr magnetons follow the coordinates.
Fractional positions:
Y  0.500  0.500  0.500  0.19
Pu  0.000  0.000  0.207  5.46
Zn  0.500  0.500  0.000  0.02
Pu  0.000  0.000  0.793  5.46



Entry 6:
Si2TcMo: optimized geometry, PBE.

## Properties
**ΔE to the lowest computed polymorph**: 773.8 meV/atom
**Crystal system**: tetragonal

Cell lengths 6.454, 6.454, 5.449 Å; angles 53.69, 53.69, 90.00 degrees
Fractional positions:
Tc  0.750  0.250  0.500
Mo  0.500  0.500  0.000
Si  0.375  0.364  0.750
Tc  0.000  0.000  0.000
Si  0.636  0.125  0.250
Si  0.114  0.625  0.250
Si  0.875  0.886  0.750
Mo  0.250  0.750  0.500



| no. | raw total energy (eV for the cell shown) |
| --- | --- |
| 1 | -41.16 |
| 2 | -23.18 |
| 3 | -42.99 |
| 4 | -21.29 |
| 5 | -35.95 |
| 6 | -61.49 |